[1]
DFT (PBE) results for a relaxed Tb5PmNd2Tm crystal.

Lattice parameters (Å, degrees): 9.9753 9.9753 9.9753 128.21 128.21 76.28
Positions (direct):
Tb (0.0000, 0.0000, 0.0000)
Tb (0.0722, 0.5722, 0.9227)
Tb (0.1495, 0.0722, 0.5000)
Tb (0.3505, 0.8505, 0.9227)
Tb (0.4278, 0.3505, 0.5000)
Tb (0.5000, 0.5000, 0.0000)
Tb (0.5722, 0.6495, 0.5000)
Tb (0.6495, 0.1495, 0.0773)
Tb (0.8505, 0.9278, 0.5000)
Tb (0.9278, 0.4278, 0.0773)
Pm (0.2500, 0.2500, 0.0000)
Pm (0.7500, 0.7500, 0.0000)
Nd (0.1176, 0.3824, 0.5000)
Nd (0.3824, 0.8824, 0.2648)
Nd (0.6176, 0.1176, 0.7352)
Nd (0.8824, 0.6176, 0.5000)
Tm (0.2500, 0.7500, 0.5000)
Tm (0.7500, 0.2500, 0.5000)

Values from the calculation:
- energy relative to the elements (eV per atom) = 0.2721
- ρ (Mg/m³) = 7.8



[2]
DFT (PBE) results for a relaxed CsUMn2I8 crystal.

Lattice parameters (Å, degrees): 8.6096 8.6096 10.4098 90.00 90.00 120.00
Positions (direct):
Cs (0.0000, 0.0000, 0.0000)
U (0.0000, 0.0000, 0.5000)
Mn (0.3333, 0.6667, 0.2172)
Mn (0.6667, 0.3333, 0.7828)
I (0.1634, 0.3267, 0.3149)
I (0.1634, 0.8366, 0.3149)
I (0.3267, 0.1634, 0.6851)
I (0.3333, 0.6667, 0.9692)
I (0.6667, 0.3333, 0.0308)
I (0.6733, 0.8366, 0.3149)
I (0.8366, 0.1634, 0.6851)
I (0.8366, 0.6733, 0.6851)

Values from the calculation:
- ρ (Mg/m³) = 3.7
- ΔE_f (raw) (eV/atom) = -0.68



Question: ρ of number 2 (CsUMn2I8)?
Answer: 3.7 Mg/m³



Question: Which of these has the highest ρ?
Answer: Tb5PmNd2Tm



Question: The highest ρ belongs to which entry?
Answer: Tb5PmNd2Tm